This record from Alexandria via LeMat-Bulk describes crystalline BaCa3Pa2N6 at its relaxed geometry. The functional is PBE-GGA.

As for the total energy: -7.665 eV/atom. As for the total magnetic moment: 0.0 μB per cell.

It has space group C2/m (No. 12), with a = 16.3176 Å, b = 3.6107 Å, c = 7.1393 Å, α = 90.00°, β = 100.22° and γ = 90.00°. The asymmetric unit holds Ba at (0.0000, 0.0000, 0.0000), Ca at (0.0000, 0.0000, 0.5000), Ca at (0.1771, 0.5000, 0.8408), Pa at (0.1679, 0.5000, 0.3399), N at (0.0362, 0.5000, 0.2954), N at (0.1757, 0.0000, 0.1238) and N at (0.1856, 0.0000, 0.5777).